Na8SnHg2 | PBE-GGA | relaxed

Lattice parameters (Å, degrees): 17.1946 5.2001 8.2525 90.00 118.66 90.00
With the nearest neighbours (Å) after each atom.
Space group C2/m (No. 12)
Asymmetric unit:
Na (0.0012, 0.0000, 0.2129) x4  7 Na 3.28-3.50, 2 Hg 3.38-3.40, 2 Sn 3.52
Na (0.1501, 0.0000, 0.6521) x4  8 Na 3.28-3.49, 2 Sn 3.45, 2 Hg 3.52
Na (0.1517, 0.5000, 0.9312) x4  3 Hg 3.22-3.28, 1 Sn 3.25, 5 Na 3.46-3.49
Na (0.1538, 0.5000, 0.3759) x4  3 Hg 3.24-3.27, 1 Sn 3.26, 5 Na 3.47-3.49
Sn (0.0000, 0.5000, 0.5000) x2  12 Na 3.25-3.52
Hg (0.1925, 0.0000, 0.1907) x4  10 Na 3.22-3.52

Summary:
DOS at the Fermi energy (states/eV/cell): 9.33
Relative energy among the computed polymorphs (meV per atom): 0
Size of the total moment (μB per formula unit): 0.00
Energy of formation (eV/atom): -0.15
VASP energy (eV per atom): -1.53